Record 1
Crystalline Cd12Sb3As5 at its relaxed geometry. Source: Alexandria via LeMat-Bulk, functional PBE. Values from VASP.

The structure in Quantum ESPRESSO input format:
```
&SYSTEM
  ibrav = 0, nat = 80, ntyp = 3
/
ATOMIC_SPECIES
Cd 112.41 Cd.upf
Sb 121.76 Sb.upf
As 74.92 As.upf
CELL_PARAMETERS angstrom
-8.2506 8.2506 8.2506
8.2506 -8.2506 8.2506
8.2506 8.2506 -8.2506
ATOMIC_POSITIONS angstrom
Cd 2.4891 -0.4010 1.1639
Cd 9.8868 5.2892 -4.5263
Cd 7.8495 -1.1639 2.4891
Cd 12.7769 -1.6362 2.9614
Cd 10.7396 0.4010 1.1639
Cd 9.8868 -2.9614 4.5263
Cd 1.1639 2.4891 -0.4010
Cd 11.2120 3.7242 -1.6362
Cd 5.2892 4.5263 -1.6362
Cd 7.0867 2.4891 0.4010
Cd -0.4010 1.1639 2.4891
Cd 4.5263 -1.6362 5.2892
Cd 7.8495 7.0867 -2.4891
Cd 4.5263 1.6362 2.9614
Cd 7.0867 -2.4891 7.8495
Cd 5.2892 -4.5263 9.8868
Cd 2.9614 4.5263 1.6362
Cd 9.4145 5.7615 0.4010
Cd 2.4891 7.8495 -1.1639
Cd 9.8868 2.9614 3.7242
Cd 4.5263 9.8868 -2.9614
Cd 7.8495 1.1639 5.7615
Cd 1.6362 2.9614 4.5263
Cd 2.4891 0.4010 7.0867
Cd 5.7615 7.8495 1.1639
Cd 6.6143 5.2892 3.7242
Cd 0.4010 7.0867 2.4891
Cd 3.7242 -1.6362 11.2120
Cd -1.6362 5.2892 4.5263
Cd 5.7615 0.4010 9.4145
Cd -1.1639 2.4891 7.8495
Cd 5.2892 3.7242 6.6143
Cd 2.9614 12.7769 -1.6362
Cd 1.1639 10.7396 0.4010
Cd 3.7242 6.6143 5.2892
Cd 0.4010 1.1639 10.7396
Cd 3.7242 9.8868 2.9614
Cd 8.6516 7.0867 5.7615
Cd 1.1639 5.7615 7.8495
Cd 2.9614 3.7242 9.8868
Cd -2.9614 4.5263 9.8868
Cd 7.0867 5.7615 8.6516
Cd -1.6362 11.2120 3.7242
Cd -2.4891 7.8495 7.0867
Cd -4.5263 9.8868 5.2892
Cd 0.4010 9.4145 5.7615
Cd -1.6362 2.9614 12.7769
Cd 5.7615 8.6516 7.0867
Sb 4.1253 2.0626 0.0000
Sb 8.2506 4.1253 -2.0626
Sb 2.0626 0.0000 4.1253
Sb 10.3132 0.0000 4.1253
Sb 0.0000 4.1253 2.0626
Sb 4.1253 -2.0626 8.2506
Sb 4.1253 10.3132 0.0000
Sb 8.2506 4.1253 6.1879
Sb -2.0626 8.2506 4.1253
Sb 6.1879 8.2506 4.1253
Sb 0.0000 4.1253 10.3132
Sb 4.1253 6.1879 8.2506
As 0.0000 0.0000 0.0000
As 4.1253 4.1253 -4.1253
As 4.1253 -4.1253 4.1253
As 8.2506 0.0000 0.0000
As 12.3759 2.0626 0.0000
As 8.2506 -4.1253 6.1879
As 6.1879 8.2506 -4.1253
As 6.1879 0.0000 4.1253
As 4.1253 6.1879 0.0000
As 8.2506 4.1253 2.0626
As -4.1253 4.1253 4.1253
As 0.0000 8.2506 0.0000
As 0.0000 0.0000 8.2506
As 4.1253 4.1253 4.1253
As 0.0000 4.1253 6.1879
As 4.1253 2.0626 8.2506
As 2.0626 8.2506 4.1253
As 2.0626 0.0000 12.3759
As 0.0000 12.3759 2.0626
As -4.1253 6.1879 8.2506
```

Results
* calculated volume: 2246.5 Å³/cell
* final energy: -2.345 eV per atom
* E_form (uncorrected): -0.01 eV per atom
* crystal system: cubic
* magnetic moment: 0.0000 μB/atom

=====

Record 2
Crystalline Ac8Hg2Ir at its relaxed geometry. Source: Alexandria via LeMat-Bulk, functional PBE. Values from VASP.

The structure in Quantum ESPRESSO input format:
```
&SYSTEM
  ibrav = 0, nat = 11, ntyp = 3
/
ATOMIC_SPECIES
Ac 227.00 Ac.upf
Hg 200.59 Hg.upf
Ir 192.22 Ir.upf
CELL_PARAMETERS angstrom
10.3281 -2.4923 0.0000
10.3281 2.4923 0.0000
-0.2817 0.0000 8.2835
ATOMIC_POSITIONS angstrom
Ac -0.0004 0.0000 2.3084
Ac 4.3706 0.0000 6.7819
Ac 7.3078 0.0000 4.1238
Ac 8.3282 0.0000 0.0434
Ac 12.0463 0.0000 8.2401
Ac 13.0667 0.0000 4.1597
Ac 16.0039 0.0000 1.5016
Ac 20.3749 0.0000 5.9751
Hg 3.5027 0.0000 1.9325
Hg 16.8719 0.0000 6.3510
Ir 10.1873 0.0000 4.1418
```

Results
* calculated volume: 426.4 Å³/cell
* final energy: -4.123 eV per atom
* crystal system: monoclinic
* formation enthalpy at 0 K: -291 kJ/mol of formula units
* magnetic moment: 0.0000 μB/atom

=====

Record 3
Crystalline Al2OsO at its relaxed geometry. Source: Alexandria via LeMat-Bulk, functional PBE. Values from VASP.

The structure in Quantum ESPRESSO input format:
```
&SYSTEM
  ibrav = 0, nat = 4, ntyp = 3
/
ATOMIC_SPECIES
Al 26.98 Al.upf
Os 190.23 Os.upf
O 16.00 O.upf
CELL_PARAMETERS angstrom
0.0000 2.9942 2.9942
2.9942 0.0000 2.9942
2.9942 2.9942 0.0000
ATOMIC_POSITIONS angstrom
Al 1.4971 1.4971 1.4971
Al 4.4912 4.4912 4.4912
Os 0.0000 0.0000 0.0000
O 2.9942 2.9942 2.9942
```

Results
* calculated volume: 53.7 Å³/cell
* final energy: -5.808 eV per atom
* E_form (uncorrected): 0.11 eV per atom
* crystal system: cubic
* energy above the most stable polymorph in this dataset: 0.832 eV per atom
* magnetic moment: 0.3392 μB/atom

=====

Record 4
Crystalline LiAl4Se at its relaxed geometry. Source: Alexandria via LeMat-Bulk, functional PBE. Values from VASP.

The structure in Quantum ESPRESSO input format:
```
&SYSTEM
  ibrav = 0, nat = 6, ntyp = 3
/
ATOMIC_SPECIES
Li 6.94 Li.upf
Al 26.98 Al.upf
Se 78.96 Se.upf
CELL_PARAMETERS angstrom
0.0000 3.8567 3.8567
3.8567 0.0000 3.8567
3.8567 3.8567 0.0000
ATOMIC_POSITIONS angstrom
Li 0.0000 0.0000 0.0000
Al 2.8809 2.8809 2.8809
Al 4.8325 4.8325 2.8809
Al 4.8325 2.8809 4.8325
Al 2.8809 4.8325 4.8325
Se 5.7851 5.7851 5.7851
```

Results
* calculated volume: 114.7 Å³/cell
* final energy: -3.292 eV per atom
* E_form (uncorrected): 0.10 eV per atom
* crystal system: cubic
* magnetic moment: 0.0000 μB/atom

=====

Record 5
Crystalline CsAlCuS2 at its relaxed geometry. Source: Alexandria via LeMat-Bulk, functional PBE. Values from VASP.

The structure in Quantum ESPRESSO input format:
```
&SYSTEM
  ibrav = 0, nat = 10, ntyp = 4
/
ATOMIC_SPECIES
Cs 132.91 Cs.upf
Al 26.98 Al.upf
Cu 63.55 Cu.upf
S 32.06 S.upf
CELL_PARAMETERS angstrom
3.0280 -6.8710 0.0000
3.0280 6.8710 0.0000
0.0000 0.0000 6.3325
ATOMIC_POSITIONS angstrom
Cs 3.0280 3.4355 4.8814
Cs 3.0280 -3.4355 1.4511
Al 1.5140 0.0000 3.1663
Al 4.5419 0.0000 3.1663
Cu 0.0000 0.0000 0.0000
Cu 3.0280 0.0000 0.0000
S 3.0280 5.6704 1.8668
S 3.0280 1.2006 1.8668
S 3.0280 -1.2006 4.4657
S 3.0280 -5.6704 4.4657
```

Results
* calculated volume: 263.5 Å³/cell
* final energy: -4.001 eV per atom
* E_form (uncorrected): -0.61 eV per atom
* crystal system: orthorhombic
* magnetic moment: 0.0000 μB/atom

=====

Record 6
Crystalline YTmMg at its relaxed geometry. Source: Alexandria via LeMat-Bulk, functional PBE. Values from VASP.

The structure in Quantum ESPRESSO input format:
```
&SYSTEM
  ibrav = 0, nat = 6, ntyp = 3
/
ATOMIC_SPECIES
Y 88.91 Y.upf
Tm 168.93 Tm.upf
Mg 24.30 Mg.upf
CELL_PARAMETERS angstrom
3.2892 0.0000 0.0000
0.0000 5.6541 0.0000
0.0000 0.0000 9.6397
ATOMIC_POSITIONS angstrom
Y 0.8223 1.4135 0.6014
Y 2.4669 4.2406 9.0383
Tm 0.8223 4.2406 2.5079
Tm 2.4669 1.4135 7.1317
Mg 0.8223 1.4135 4.1705
Mg 2.4669 4.2406 5.4691
```

Results
* calculated volume: 179.3 Å³/cell
* final energy: -4.004 eV per atom
* crystal system: orthorhombic
* energy above the most stable polymorph in this dataset: 0.212 eV per atom
* formation enthalpy at 0 K: 50 kJ/mol of formula units
* magnetic moment: 0.0000 μB/atom

=====

Record 7
Crystalline Zr2BiRh2 at its relaxed geometry. Source: Alexandria via LeMat-Bulk, functional PBE. Values from VASP.

The structure in Quantum ESPRESSO input format:
```
&SYSTEM
  ibrav = 0, nat = 5, ntyp = 3
/
ATOMIC_SPECIES
Zr 91.22 Zr.upf
Bi 208.98 Bi.upf
Rh 102.91 Rh.upf
CELL_PARAMETERS angstrom
-2.2775 2.2775 5.3227
2.2775 -2.2775 5.3227
2.2775 2.2775 -5.3227
ATOMIC_POSITIONS angstrom
Zr 2.2775 0.0000 2.6614
Zr 0.0000 2.2775 2.6614
Bi 0.0000 0.0000 0.0000
Rh 0.0000 0.0000 4.0506
Rh 0.0000 0.0000 6.5949
```

Results
* calculated volume: 110.4 Å³/cell
* final energy: -7.575 eV per atom
* crystal system: tetragonal
* energy above the most stable polymorph in this dataset: 0.189 eV per atom
* formation enthalpy at 0 K: -212 kJ/mol of formula units
* magnetic moment: 0.0000 μB/atom

=====

Record 8
Crystalline Ca2La2Os at its relaxed geometry. Source: Alexandria via LeMat-Bulk, functional PBE. Values from VASP.

The structure in Quantum ESPRESSO input format:
```
&SYSTEM
  ibrav = 0, nat = 10, ntyp = 3
/
ATOMIC_SPECIES
Ca 40.08 Ca.upf
La 138.91 La.upf
Os 190.23 Os.upf
CELL_PARAMETERS angstrom
7.3971 0.0000 0.0000
0.0000 7.3971 0.0000
0.0000 0.0000 6.2779
ATOMIC_POSITIONS angstrom
Ca 1.3369 2.3617 0.0000
Ca 2.3617 6.0602 0.0000
Ca 5.0354 1.3369 0.0000
Ca 6.0602 5.0354 0.0000
La 1.2344 4.9330 3.1389
La 2.4641 1.2344 3.1389
La 4.9330 6.1627 3.1389
La 6.1627 2.4641 3.1389
Os 0.0000 0.0000 3.1389
Os 3.6985 3.6985 3.1389
```

Results
* calculated volume: 343.5 Å³/cell
* final energy: -4.813 eV per atom
* crystal system: tetragonal
* energy above the most stable polymorph in this dataset: 0.000 eV per atom
* formation enthalpy at 0 K: 99 kJ/mol of formula units
* magnetic moment: 0.0000 μB/atom